No. 1
Below is a relaxed structure of CsCeNdI6, with properties calculated at the PBE level.

Cell lengths 11.625, 11.625, 11.625 Å; angles 121.10, 119.58, 89.41 degrees
Atoms (fractional coordinates):
Cs  0.325  0.075  0.250
Cs  0.675  0.925  0.750
Ce  0.000  0.000  0.500
Ce  0.000  0.500  0.000
Nd  0.000  0.500  0.500
Nd  0.500  0.500  0.000
I  0.082  0.421  0.252
I  0.082  0.830  0.661
I  0.089  0.839  0.250
I  0.317  0.567  0.750
I  0.331  0.170  0.752
I  0.331  0.579  0.161
I  0.669  0.421  0.839
I  0.669  0.830  0.248
I  0.683  0.433  0.250
I  0.911  0.161  0.750
I  0.918  0.170  0.339
I  0.918  0.579  0.748

Summary:
E_form (uncorrected) = -1.281 eV/atom
total magnetic moment = 4.10 Bohr magnetons per cell
SG = Imma, No. 74
mass density = 3.54 g/cm³


No. 2
Below is a relaxed structure of CsCeIO2, with properties calculated at the PBE level.

Cell lengths 7.605, 4.380, 9.325 Å; angles 90.00, 105.46, 90.00 degrees
Atoms (fractional coordinates):
Cs  0.212  0.250  0.450
Cs  0.788  0.750  0.550
Ce  0.139  0.250  0.916
Ce  0.861  0.750  0.084
I  0.462  0.750  0.799
I  0.538  0.250  0.201
O  0.020  0.250  0.705
O  0.076  0.750  0.957
O  0.924  0.250  0.043
O  0.980  0.750  0.295

Summary:
E_form (uncorrected) = -2.405 eV/atom
total magnetic moment = 0.00 Bohr magnetons per cell
SG = P2_1/m, No. 11
mass density = 4.79 g/cm³


No. 3
Below is a relaxed structure of Cs2CeI2O2, with properties calculated at the PBE level.

Cell lengths 10.572, 10.572, 10.572 Å; angles 154.35, 154.35, 36.59 degrees
Atoms (fractional coordinates):
Cs  0.109  0.109  0.000
Cs  0.891  0.891  0.000
Ce  0.500  0.500  0.000
I  0.332  0.332  0.000
I  0.668  0.668  0.000
O  0.000  0.500  0.500
O  0.500  0.000  0.500

Summary:
E_form (uncorrected) = -1.942 eV/atom
total magnetic moment = 0.00 Bohr magnetons per cell
SG = I4/mmm, No. 139
mass density = 5.19 g/cm³


No. 4
Below is a relaxed structure of CsCePb2I8, with properties calculated at the PBE level.

Cell lengths 7.541, 7.965, 10.092 Å; angles 89.79, 89.74, 89.07 degrees
Atoms (fractional coordinates):
Cs  0.000  0.000  0.000
Ce  0.000  0.000  0.500
Pb  0.500  0.500  0.249
Pb  0.500  0.500  0.751
I  0.244  0.329  0.500
I  0.257  0.840  0.711
I  0.259  0.842  0.288
I  0.266  0.391  0.002
I  0.734  0.609  0.998
I  0.741  0.158  0.712
I  0.743  0.160  0.289
I  0.756  0.671  0.500

Summary:
E_form (uncorrected) = -0.981 eV/atom
total magnetic moment = 1.00 Bohr magnetons per cell
SG = P-1, No. 2
mass density = 4.67 g/cm³


No. 5
Below is a relaxed structure of CsCe2PrI8, with properties calculated at the PBE level.

Cell lengths 8.216, 8.216, 9.760 Å; angles 90.00, 90.00, 120.00 degrees
Atoms (fractional coordinates):
Cs  0.000  0.000  0.000
Ce  0.333  0.667  0.410
Ce  0.667  0.333  0.590
Pr  0.000  0.000  0.500
I  0.073  0.369  0.663
I  0.296  0.927  0.663
I  0.333  0.667  0.092
I  0.369  0.296  0.337
I  0.631  0.704  0.663
I  0.667  0.333  0.908
I  0.704  0.073  0.337
I  0.927  0.631  0.337

Summary:
E_form (uncorrected) = -1.263 eV/atom
total magnetic moment = 4.04 Bohr magnetons per cell
SG = P-3, No. 147
mass density = 4.57 g/cm³


No. 6
Below is a relaxed structure of CsCePrI6, with properties calculated at the PBE level.

Cell lengths 11.795, 11.795, 11.795 Å; angles 120.64, 119.81, 89.61 degrees
Atoms (fractional coordinates):
Cs  0.478  0.228  0.250
Cs  0.522  0.772  0.750
Ce  0.000  0.000  0.500
Ce  0.000  0.500  0.000
Pr  0.000  0.500  0.500
Pr  0.500  0.500  0.000
I  0.078  0.828  0.250
I  0.099  0.441  0.272
I  0.099  0.827  0.658
I  0.299  0.549  0.750
I  0.330  0.173  0.772
I  0.330  0.559  0.158
I  0.670  0.441  0.842
I  0.670  0.827  0.228
I  0.701  0.451  0.250
I  0.901  0.173  0.342
I  0.901  0.559  0.728
I  0.922  0.172  0.750

Summary:
E_form (uncorrected) = -1.282 eV/atom
total magnetic moment = 1.62 Bohr magnetons per cell
SG = Imma, No. 74
mass density = 3.38 g/cm³


No. 7
Below is a relaxed structure of CsRbCe2I8, with properties calculated at the PBE level.

Cell lengths 8.672, 8.672, 9.547 Å; angles 90.00, 90.00, 120.00 degrees
Atoms (fractional coordinates):
Cs  0.000  0.000  0.000
Rb  0.000  0.000  0.500
Ce  0.333  0.667  0.415
Ce  0.667  0.333  0.585
I  0.060  0.393  0.659
I  0.333  0.667  0.095
I  0.333  0.940  0.659
I  0.393  0.333  0.341
I  0.607  0.667  0.659
I  0.667  0.060  0.341
I  0.667  0.333  0.905
I  0.940  0.607  0.341

Summary:
E_form (uncorrected) = -1.341 eV/atom
total magnetic moment = 2.00 Bohr magnetons per cell
SG = P-3, No. 147
mass density = 4.04 g/cm³


No. 8
Below is a relaxed structure of CsRbCeI6, with properties calculated at the PBE level.

Cell lengths 9.065, 9.065, 15.021 Å; angles 90.00, 90.00, 120.00 degrees
Atoms (fractional coordinates):
Cs  0.000  0.000  0.000
Cs  0.000  0.000  0.500
Rb  0.333  0.667  0.250
Rb  0.667  0.333  0.750
Ce  0.333  0.667  0.750
Ce  0.667  0.333  0.250
I  0.057  0.397  0.632
I  0.057  0.660  0.868
I  0.340  0.397  0.868
I  0.340  0.943  0.632
I  0.397  0.057  0.132
I  0.397  0.340  0.368
I  0.603  0.660  0.632
I  0.603  0.943  0.868
I  0.660  0.057  0.368
I  0.660  0.603  0.132
I  0.943  0.340  0.132
I  0.943  0.603  0.368

Summary:
E_form (uncorrected) = -1.332 eV/atom
total magnetic moment = 0.00 Bohr magnetons per cell
SG = P-31c, No. 163
mass density = 3.48 g/cm³


No. 9
Below is a relaxed structure of Cs2CeS2I2, with properties calculated at the PBE level.

Cell lengths 10.516, 10.516, 10.516 Å; angles 150.11, 150.11, 42.78 degrees
Atoms (fractional coordinates):
Cs  0.128  0.128  0.000
Cs  0.872  0.872  0.000
Ce  0.500  0.500  0.000
S  0.000  0.500  0.500
S  0.500  0.000  0.500
I  0.338  0.338  0.000
I  0.662  0.662  0.000

Summary:
E_form (uncorrected) = -1.564 eV/atom
total magnetic moment = 0.16 Bohr magnetons per cell
SG = I4/mmm, No. 139
mass density = 4.17 g/cm³


No. 10
Below is a relaxed structure of CsCeScI6, with properties calculated at the PBE level.

Cell lengths 7.847, 7.847, 17.809 Å; angles 90.00, 90.00, 120.00 degrees
Atoms (fractional coordinates):
Cs  0.000  0.000  0.000
Cs  0.000  0.000  0.500
Ce  0.333  0.667  0.250
Ce  0.667  0.333  0.750
Sc  0.333  0.667  0.750
Sc  0.667  0.333  0.250
I  0.022  0.372  0.650
I  0.022  0.650  0.850
I  0.350  0.372  0.850
I  0.350  0.978  0.650
I  0.372  0.022  0.150
I  0.372  0.350  0.350
I  0.628  0.650  0.650
I  0.628  0.978  0.850
I  0.650  0.022  0.350
I  0.650  0.628  0.150
I  0.978  0.350  0.150
I  0.978  0.628  0.350

Summary:
E_form (uncorrected) = -1.315 eV/atom
total magnetic moment = 4.01 Bohr magnetons per cell
SG = P-31c, No. 163
mass density = 3.78 g/cm³


No. 11
Below is a relaxed structure of CsCeSmI6, with properties calculated at the PBE level.

Cell lengths 11.541, 11.541, 11.541 Å; angles 121.56, 119.44, 89.14 degrees
Atoms (fractional coordinates):
Cs  0.334  0.084  0.250
Cs  0.666  0.916  0.750
Ce  0.000  0.000  0.500
Ce  0.000  0.500  0.000
Sm  0.000  0.500  0.500
Sm  0.500  0.500  0.000
I  0.087  0.424  0.258
I  0.087  0.829  0.663
I  0.094  0.844  0.250
I  0.313  0.563  0.750
I  0.334  0.171  0.758
I  0.334  0.576  0.163
I  0.666  0.424  0.837
I  0.666  0.829  0.242
I  0.687  0.437  0.250
I  0.906  0.156  0.750
I  0.913  0.171  0.337
I  0.913  0.576  0.742

Summary:
E_form (uncorrected) = -1.276 eV/atom
total magnetic moment = 4.10 Bohr magnetons per cell
SG = Imma, No. 74
mass density = 3.65 g/cm³


No. 12
Below is a relaxed structure of CsCeSnI6, with properties calculated at the PBE level.

Cell lengths 11.612, 11.612, 11.612 Å; angles 121.28, 119.50, 89.33 degrees
Atoms (fractional coordinates):
Cs  0.308  0.058  0.250
Cs  0.692  0.942  0.750
Ce  0.000  0.500  0.500
Ce  0.500  0.500  0.000
Sn  0.000  0.000  0.500
Sn  0.000  0.500  0.000
I  0.074  0.416  0.246
I  0.074  0.828  0.659
I  0.080  0.830  0.250
I  0.324  0.574  0.750
I  0.330  0.172  0.746
I  0.330  0.584  0.159
I  0.670  0.416  0.841
I  0.670  0.828  0.254
I  0.676  0.426  0.250
I  0.920  0.170  0.750
I  0.926  0.172  0.341
I  0.926  0.584  0.754

Summary:
E_form (uncorrected) = -1.052 eV/atom
total magnetic moment = 2.00 Bohr magnetons per cell
SG = Imma, No. 74
mass density = 3.48 g/cm³


Repeat the second record exactly.
Below is a relaxed structure of CsCeIO2, with properties calculated at the PBE level.

Cell lengths 7.605, 4.380, 9.325 Å; angles 90.00, 105.46, 90.00 degrees
Atoms (fractional coordinates):
Cs  0.212  0.250  0.450
Cs  0.788  0.750  0.550
Ce  0.139  0.250  0.916
Ce  0.861  0.750  0.084
I  0.462  0.750  0.799
I  0.538  0.250  0.201
O  0.020  0.250  0.705
O  0.076  0.750  0.957
O  0.924  0.250  0.043
O  0.980  0.750  0.295

Summary:
E_form (uncorrected) = -2.405 eV/atom
total magnetic moment = 0.00 Bohr magnetons per cell
SG = P2_1/m, No. 11
mass density = 4.79 g/cm³